The following is a DFT calculation (PBE with a Hubbard U) of an optimized crystal structure of EuCuW2O8.

The structure in POSCAR format:
```
EuCuW2O8
1.0
7.3300 -0.0499 0.0378
-0.1865 7.4282 0.0107
-3.3082 -3.3012 6.1628
Eu Cu W O
2 2 4 16
Direct
0.1855 0.2798 0.4639 Eu
0.8145 0.7202 0.5361 Eu
0.2175 0.6770 0.9465 Cu
0.7825 0.3230 0.0535 Cu
0.2748 0.2998 0.0453 W
0.7252 0.7002 0.9547 W
0.6471 0.1030 0.2905 W
0.3529 0.8970 0.7095 W
0.2034 0.3794 0.8308 O
0.7966 0.6206 0.1692 O
0.4627 0.5353 0.2695 O
0.5373 0.4647 0.7305 O
0.8508 0.0028 0.1922 O
0.1492 0.9972 0.8078 O
0.7046 0.0081 0.4799 O
0.2954 0.9919 0.5201 O
0.1790 0.6406 0.5547 O
0.8210 0.3594 0.4453 O
0.4766 0.8212 0.0031 O
0.5234 0.1788 0.9969 O
0.0541 0.3113 0.1032 O
0.9459 0.6887 0.8968 O
0.3851 0.1643 0.2530 O
0.6149 0.8357 0.7470 O
```

Computed properties:
**Calculated volume**: 14.030 Å³/atom
**Crystal system**: triclinic
**DOS(E_F)**: 1.614 states/eV/atom
**Final energy**: -7.703 eV per atom